Compound: NaTi2VIr
Source: Alexandria via LeMat-Bulk
Functional: PBE-GGA
Structure: optimized geometry

Summary:
**Density of states at the Fermi level**: 6.8 states/eV/cell
**E**: -0.2351 Ha/atom
**Energy relative to the elements**: 0.62 eV/atom
**Size of the total moment**: 0.000 μB per formula unit

a = 4.6426 Å, b = 4.6426 Å, c = 4.5786 Å
α = 90.00°, β = 90.00°, γ = 90.00°
Element x y z (fractional)
Na (0.0000, 0.0000, 0.0000)
Ti (0.0000, 0.5000, 0.5000)
Ti (0.5000, 0.0000, 0.5000)
V (0.5000, 0.5000, 0.5000)
Ir (0.5000, 0.5000, 0.0000)